## TaBiTe2N (PBE)

Data for a relaxed structure of TaBiTe2N.

Calculated values
The calculation puts the total DFT energy (no corrections) at -30.1 eV per cell. The offset from the most stable computed form is 0.00 eV/f.u. The total moment comes out at 0.000 μB per atom. Its symmetry is P4/mmm. The calculated volume is 25.00 Å³ per atom. The calculation puts the uncorrected formation energy at 21 kJ/mol of formula units.

abc: 5.637 5.637 3.933
angles: 90.00 90.00 90.00
Fractional coordinates of all 5 atoms:
1 Ta 0.000 0.000 0.000
2 Bi 0.500 0.500 0.500
3 Te 0.000 0.500 0.000
4 Te 0.500 0.000 0.000
5 N 0.000 0.000 0.500



## TaBiTeN2 (PBE)

Data for a relaxed structure of TaBiTeN2.

Calculated values
The calculation puts the total DFT energy (no corrections) at -33.5 eV per cell. The offset from the most stable computed form is 0.00 eV/f.u. The total moment comes out at 0.000 μB per atom. Its symmetry is P4/mmm. The calculated volume is 19.95 Å³ per atom. The calculation puts the uncorrected formation energy at 198 kJ/mol of formula units.

abc: 4.188 4.188 5.685
angles: 90.00 90.00 90.00
Fractional coordinates of all 5 atoms:
1 Ta 0.000 0.000 0.000
2 Bi 0.500 0.500 0.500
3 Te 0.000 0.000 0.500
4 N 0.000 0.500 0.000
5 N 0.500 0.000 0.000



## TaBiTeN2 (PBE)

Data for a relaxed structure of TaBiTeN2.

Calculated values
The calculation puts the total DFT energy (no corrections) at -25.0 eV per cell. The offset from the most stable computed form is 8.45 eV/f.u. The total moment comes out at 0.000 μB per atom. Its symmetry is P4/mmm. The calculated volume is 21.41 Å³ per atom. The calculation puts the uncorrected formation energy at 1013 kJ/mol of formula units.

abc: 4.263 4.263 5.890
angles: 90.00 90.00 90.00
Fractional coordinates of all 5 atoms:
1 Ta 0.000 0.000 0.000
2 Bi 0.500 0.500 0.500
3 Te 0.500 0.500 0.000
4 N 0.000 0.500 0.500
5 N 0.500 0.000 0.500



## TaBiTe2N (PBE)

Data for a relaxed structure of TaBiTe2N.

Calculated values
The calculation puts the total DFT energy (no corrections) at -22.2 eV per cell. The offset from the most stable computed form is 7.94 eV/f.u. The total moment comes out at 0.381 μB per atom. Its symmetry is P4/mmm. The calculated volume is 28.28 Å³ per atom. The calculation puts the uncorrected formation energy at 787 kJ/mol of formula units.

abc: 5.840 5.840 4.147
angles: 90.00 90.00 90.00
Fractional coordinates of all 5 atoms:
1 Ta 0.000 0.000 0.000
2 Bi 0.500 0.500 0.500
3 Te 0.000 0.500 0.500
4 Te 0.500 0.000 0.500
5 N 0.500 0.500 0.000